No. 1
A plane-wave DFT calculation with GGA-PBE was carried out for a relaxed HfZnFeCu crystal. Values from VASP.

Structure (Quantum ESPRESSO input):
```
&SYSTEM
  ibrav = 0, nat = 4, ntyp = 4
/
ATOMIC_SPECIES
Hf 178.49 Hf.upf
Zn 65.41 Zn.upf
Fe 55.84 Fe.upf
Cu 63.55 Cu.upf
CELL_PARAMETERS angstrom
0.000 3.088 3.088
3.088 0.000 3.088
3.088 3.088 0.000
ATOMIC_POSITIONS angstrom
Hf 0.000 0.000 0.000
Zn 1.544 1.544 1.544
Fe 4.632 4.632 4.632
Cu 3.088 3.088 3.088
```

Results
Final energy (eV/atom): -5.73
Calculated formation energy (eV per atom): 0.079


No. 2
A plane-wave DFT calculation with GGA-PBE was carried out for a relaxed CdCo2Ag crystal. Values from VASP.

Structure (Quantum ESPRESSO input):
```
&SYSTEM
  ibrav = 0, nat = 4, ntyp = 3
/
ATOMIC_SPECIES
Cd 112.41 Cd.upf
Co 58.93 Co.upf
Ag 107.87 Ag.upf
CELL_PARAMETERS angstrom
0.000 3.111 3.111
3.111 0.000 3.111
3.111 3.111 0.000
ATOMIC_POSITIONS angstrom
Cd 0.000 0.000 0.000
Co 1.555 1.555 1.555
Co 3.111 3.111 3.111
Ag 4.666 4.666 4.666
```

Results
Final energy (eV/atom): -4.07
Calculated formation energy (eV per atom): 0.413


No. 3
A plane-wave DFT calculation with GGA-PBE was carried out for a relaxed SrTaN2O crystal. Values from VASP.

Structure (Quantum ESPRESSO input):
```
&SYSTEM
  ibrav = 0, nat = 10, ntyp = 4
/
ATOMIC_SPECIES
Sr 87.62 Sr.upf
Ta 180.95 Ta.upf
N 14.01 N.upf
O 16.00 O.upf
CELL_PARAMETERS angstrom
6.099 0.000 0.000
0.000 3.828 0.000
-3.048 0.000 7.639
ATOMIC_POSITIONS angstrom
Sr -0.005 0.957 2.856
Sr 3.055 2.871 4.784
Ta 0.097 0.957 6.306
Ta 2.954 2.871 1.333
N 1.572 2.871 2.633
N 2.480 0.957 0.786
N 0.571 2.871 6.853
N 1.479 0.957 5.006
O -1.404 0.957 5.174
O 4.455 2.871 2.465
```

Results
Final energy (eV/atom): -8.42